[1]
Below is crystalline YFeRu2 at its relaxed geometry, with properties calculated at the PBE level.

```
YFeRu2
1.0
4.181 0.000 0.000
0.000 4.181 0.000
2.091 2.091 8.819
Ru Fe Y
4 2 2
Direct
0.226 0.625 0.250
0.375 0.476 0.750
0.875 0.774 0.750
0.524 0.125 0.250
0.500 0.500 0.000
0.250 0.750 0.500
0.000 0.000 0.000
0.750 0.250 0.500
```

## Properties
The formation energy from the elements is 0.500 eV/atom.

=====

[2]
Below is crystalline TeIr2Br at its relaxed geometry, with properties calculated at the PBE level.

```
TeIr2Br
1.0
-1.241 0.934 3.902
-3.705 -0.821 1.798
0.837 -5.173 3.335
Te Br Ir
1 1 2
Direct
0.250 0.250 0.250
0.750 0.750 0.750
0.990 0.990 0.052
0.510 0.510 0.448
```

## Properties
As for the raw formation energy: 0.6480 eV/atom.